Version w
An optimized crystal structure of Co2Cu2Os. Source: Alexandria, functional PBE-GGA.

a = 3.2218 Å, b = 3.2218 Å, c = 6.6157 Å
α = 75.91°, β = 75.91°, γ = 90.00°
Last column: nearest neighbours and their distance in Å.
Element x y z (fractional)
1 Os 0.0000 0.0000 0.0000  8 Co 2.57
2 Cu 0.7500 0.2500 0.5000  4 Cu 2.28, 4 Co 2.51
3 Cu 0.2500 0.7500 0.5000  4 Cu 2.28, 4 Co 2.51
4 Co 0.5952 0.5952 0.8096  1 Co 2.37, 4 Cu 2.51, 4 Os 2.57
5 Co 0.4048 0.4048 0.1904  1 Co 2.37, 4 Cu 2.51, 4 Os 2.57

Output
Crystal system: tetragonal
Symmetry: I4/mmm

***

Version x
An optimized crystal structure of Co2Cu2Os. Source: Alexandria, functional PBE-GGA.

a = 6.9176 Å, b = 6.9176 Å, c = 2.5628 Å
α = 90.00°, β = 90.00°, γ = 90.00°
Last column: nearest neighbours and their distance in Å.
Element x y z (fractional)
1 Cu 0.3214 0.1786 0.5000  6 Co 2.37-2.45, 2 Cu 2.56
2 Co 0.8824 0.6176 0.0000  3 Co 2.30-2.56, 6 Cu 2.37-2.45
3 Co 0.3824 0.8824 0.0000  3 Co 2.30-2.56, 6 Cu 2.37-2.45
4 Cu 0.6786 0.8214 0.5000  6 Co 2.37-2.45, 2 Cu 2.56
5 Co 0.1176 0.3824 0.0000  3 Co 2.30-2.56, 6 Cu 2.37-2.45
6 Os 0.0000 0.0000 0.0000  2 Os 2.56, 4 Co 2.77, 8 Cu 2.85
7 Cu 0.8214 0.3214 0.5000  6 Co 2.37-2.45, 2 Cu 2.56
8 Os 0.5000 0.5000 0.0000  2 Os 2.56, 4 Co 2.77, 8 Cu 2.85
9 Cu 0.1786 0.6786 0.5000  6 Co 2.37-2.45, 2 Cu 2.56
10 Co 0.6176 0.1176 0.0000  3 Co 2.30-2.56, 6 Cu 2.37-2.45

Output
Crystal system: tetragonal
Symmetry: P4/mbm

***

Relative energies in kJ/mol of atoms: version w 15.7; version x 0.0

***

Version w
An optimized crystal structure of Co3CuOs. Source: Alexandria, functional PBE-GGA.

a = 4.1832 Å, b = 4.1832 Å, c = 4.1832 Å
α = 90.00°, β = 90.00°, γ = 90.00°
Last column: nearest neighbours and their distance in Å.
Element x y z (fractional)
1 Os 0.5000 0.5000 0.5000  12 Co 2.96
2 Cu 0.0000 0.0000 0.0000  6 Co 2.09
3 Co 0.0000 0.5000 0.0000  2 Cu 2.09
4 Co 0.0000 0.0000 0.5000  2 Cu 2.09
5 Co 0.5000 0.0000 0.0000  2 Cu 2.09

Output
Crystal system: cubic
Symmetry: Pm-3m

***

Version x
An optimized crystal structure of Co3CuOs. Source: Alexandria, functional PBE-GGA.

a = 4.4362 Å, b = 4.4362 Å, c = 4.4362 Å
α = 90.00°, β = 90.00°, γ = 90.00°
Last column: nearest neighbours and their distance in Å.
Element x y z (fractional)
1 Os 0.0000 0.0000 0.0000  6 Co 2.22
2 Co 0.0000 0.0000 0.5000  2 Os 2.22
3 Co 0.5000 0.0000 0.0000  2 Os 2.22
4 Cu 0.5000 0.5000 0.5000  12 Co 3.14
5 Co 0.0000 0.5000 0.0000  2 Os 2.22

Output
Crystal system: cubic
Symmetry: Pm-3m

***

Relative energies in kJ/mol of atoms: version w 0.0; version x 2.5

***

Version w
An optimized crystal structure of Co2CuP. Source: Alexandria, functional PBE-GGA.

a = 3.9953 Å, b = 3.9953 Å, c = 3.9953 Å
α = 60.00°, β = 60.00°, γ = 60.00°
Last column: nearest neighbours and their distance in Å.
Element x y z (fractional)
1 P 0.7500 0.7500 0.7500  4 Cu 2.45, 4 Co 2.45
2 Co 0.0000 0.0000 0.0000  4 Co 2.45, 4 P 2.45
3 Cu 0.5000 0.5000 0.5000  4 Co 2.45, 4 P 2.45
4 Co 0.2500 0.2500 0.2500  4 Co 2.45, 4 Cu 2.45

Output
Crystal system: cubic
Symmetry: F-43m

***

Version x
An optimized crystal structure of Co2CuP. Source: Alexandria, functional PBE-GGA.

a = 2.6914 Å, b = 2.6914 Å, c = 6.0428 Å
α = 90.00°, β = 90.00°, γ = 90.00°
Last column: nearest neighbours and their distance in Å.
Element x y z (fractional)
1 P 0.5000 0.5000 0.7500  8 Co 2.29
2 Co 0.0000 0.0000 0.5403  4 P 2.29, 1 Co 2.53
3 Co 0.0000 0.0000 0.9597  4 P 2.29, 1 Co 2.53
4 Cu 0.5000 0.5000 0.2500  8 Co 2.59, 4 Cu 2.69

Output
Crystal system: tetragonal
Symmetry: P4/mmm

***

Relative energies in kJ/mol of atoms: version w 24.6; version x 0.0

***

Version w
An optimized crystal structure of Co2CuP. Source: Alexandria, functional PBE-GGA.

a = 4.4059 Å, b = 4.4059 Å, c = 4.4059 Å
α = 133.43°, β = 133.43°, γ = 67.97°
Last column: nearest neighbours and their distance in Å.
Element x y z (fractional)
1 P 0.7500 0.2500 0.5000  8 Co 2.46-2.52, 4 Cu 2.52
2 Co 0.0000 0.0000 0.0000  4 Cu 2.46, 4 P 2.52, 4 Co 2.52
3 Cu 0.5000 0.5000 0.0000  8 Co 2.46-2.52, 4 P 2.52
4 Co 0.2500 0.7500 0.5000  4 P 2.46, 4 Cu 2.52, 4 Co 2.52

Output
Crystal system: tetragonal
Symmetry: I-4m2

***

Version x
An optimized crystal structure of Co2CuP. Source: Alexandria, functional PBE-GGA.

a = 2.6768 Å, b = 3.4428 Å, c = 4.9293 Å
α = 90.00°, β = 90.00°, γ = 90.00°
Last column: nearest neighbours and their distance in Å.
Element x y z (fractional)
1 Co 0.5000 0.5000 0.2449  1 P 2.29, 4 Cu 2.49, 4 Co 2.52
2 P 0.5000 0.5000 0.7806  5 Co 2.29-2.41
3 Cu 0.0000 0.0000 0.4868  6 Co 2.46-2.49, 4 P 2.62, 2 Cu 2.68
4 Co 0.0000 0.0000 0.9877  4 P 2.41, 2 Cu 2.46-2.47, 6 Co 2.52-2.68

Output
Crystal system: orthorhombic
Symmetry: Pmm2

***

Relative energies in kJ/mol of atoms: version w 0.0; version x 2.4

***

Version w
An optimized crystal structure of Co2CuP. Source: Alexandria, functional PBE-GGA.

a = 4.8120 Å, b = 4.8120 Å, c = 4.8120 Å
α = 146.57°, β = 132.65°, γ = 59.20°
Last column: nearest neighbours and their distance in Å.
Element x y z (fractional)
1 P 0.2372 0.7372 0.5000  6 Co 2.19-2.38, 2 Cu 2.39
2 Co 0.7575 0.2575 0.5000  4 P 2.38, 2 Cu 2.63
3 Co 0.0351 0.0351 0.0000  2 P 2.19, 4 Cu 2.44
4 Cu 0.4701 0.4701 0.0000  2 P 2.39, 6 Co 2.44-2.63

Output
Crystal system: orthorhombic
Symmetry: Imm2

***

Version x
An optimized crystal structure of Co2CuP. Source: Alexandria, functional PBE-GGA.

a = 3.8220 Å, b = 2.6861 Å, c = 4.6514 Å
α = 73.09°, β = 90.00°, γ = 90.00°
Last column: nearest neighbours and their distance in Å.
Element x y z (fractional)
1 P 0.5000 0.9301 0.7610  3 Co 2.17-2.38
2 Co 0.0000 0.8158 0.9938  2 P 2.17, 1 Cu 2.34
3 Cu 0.0000 0.5545 0.5201  3 Co 2.34-2.50, 4 P 2.57
4 Co 0.5000 0.1996 0.2251  3 P 2.38-2.47, 4 Co 2.55

Output
Crystal system: monoclinic
Symmetry: Pm

***

Version y
An optimized crystal structure of Co2CuP. Source: Alexandria, functional PBE-GGA.

a = 3.8445 Å, b = 3.8445 Å, c = 4.8308 Å
α = 79.74°, β = 79.74°, γ = 40.41°
Last column: nearest neighbours and their distance in Å.
Element x y z (fractional)
1 P 0.2500 0.2500 0.2500  6 Co 2.27-2.31
2 Co 0.9900 0.9900 0.0334  3 P 2.27-2.31, 3 Cu 2.40-2.49, 2 Co 2.51
3 Cu 0.7500 0.7500 0.7500  6 Co 2.40-2.49, 2 Cu 2.66
4 Co 0.5100 0.5100 0.4666  3 P 2.27-2.31, 3 Cu 2.40-2.49, 2 Co 2.51

Output
Crystal system: monoclinic
Symmetry: C2/m

***

Version z
An optimized crystal structure of Co2CuP. Source: Alexandria, functional PBE-GGA.

a = 7.9223 Å, b = 7.9223 Å, c = 7.9223 Å
α = 19.06°, β = 19.06°, γ = 19.06°
Last column: nearest neighbours and their distance in Å.
Element x y z (fractional)
1 Co 0.2532 0.2532 0.2532  9 Co 2.52-2.62, 3 Cu 2.57
2 Cu 0.4976 0.4976 0.4976  3 P 2.55, 3 Co 2.57, 6 Cu 2.62
3 P 0.7431 0.7431 0.7431  3 Co 2.23
4 Co 0.0060 0.0060 0.0060  3 P 2.23

Output
Crystal system: trigonal
Symmetry: R3m

***

Relative energies in kJ/mol of atoms: version w 0.0; version x 2.2; version y 0.7; version z 12.9

***

Version w
An optimized crystal structure of CoCu3P. Source: Alexandria, functional PBE-GGA.

a = 4.3650 Å, b = 4.3650 Å, c = 4.3650 Å
α = 90.00°, β = 90.00°, γ = 90.00°
Last column: nearest neighbours and their distance in Å.
Element x y z (fractional)
1 P 0.5000 0.5000 0.5000  12 Cu 3.09
2 Cu 0.5000 0.0000 0.0000  2 Co 2.18
3 Cu 0.0000 0.0000 0.5000  2 Co 2.18
4 Cu 0.0000 0.5000 0.0000  2 Co 2.18
5 Co 0.0000 0.0000 0.0000  6 Cu 2.18

Output
Crystal system: cubic
Symmetry: Pm-3m

***

Version x
An optimized crystal structure of CoCu3P. Source: Alexandria, functional PBE-GGA.

a = 4.2550 Å, b = 4.2550 Å, c = 4.2550 Å
α = 90.00°, β = 90.00°, γ = 90.00°
Last column: nearest neighbours and their distance in Å.
Element x y z (fractional)
1 Cu 0.5000 0.0000 0.0000  2 P 2.13
2 Cu 0.0000 0.5000 0.0000  2 P 2.13
3 P 0.0000 0.0000 0.0000  6 Cu 2.13
4 Co 0.5000 0.5000 0.5000  12 Cu 3.01
5 Cu 0.0000 0.0000 0.5000  2 P 2.13

Output
Crystal system: cubic
Symmetry: Pm-3m

***

Relative energies in kJ/mol of atoms: version w 55.0; version x 0.0

***

Version w
An optimized crystal structure of Co3CuP. Source: Alexandria, functional PBE-GGA.

a = 4.1052 Å, b = 4.1052 Å, c = 4.1052 Å
α = 90.00°, β = 90.00°, γ = 90.00°
Last column: nearest neighbours and their distance in Å.
Element x y z (fractional)
1 P 0.0000 0.0000 0.0000  6 Co 2.05
2 Co 0.5000 0.0000 0.0000  2 P 2.05
3 Cu 0.5000 0.5000 0.5000  12 Co 2.90
4 Co 0.0000 0.5000 0.0000  2 P 2.05
5 Co 0.0000 0.0000 0.5000  2 P 2.05

Output
Crystal system: cubic
Symmetry: Pm-3m

***

Version x
An optimized crystal structure of Co3CuP. Source: Alexandria, functional PBE-GGA.

a = 4.2774 Å, b = 4.2774 Å, c = 4.2774 Å
α = 90.00°, β = 90.00°, γ = 90.00°
Last column: nearest neighbours and their distance in Å.
Element x y z (fractional)
1 P 0.5000 0.5000 0.5000  12 Co 3.02
2 Co 0.0000 0.5000 0.0000  2 Cu 2.14
3 Co 0.5000 0.0000 0.0000  2 Cu 2.14
4 Cu 0.0000 0.0000 0.0000  6 Co 2.14
5 Co 0.0000 0.0000 0.5000  2 Cu 2.14

Output
Crystal system: cubic
Symmetry: Pm-3m

***

Relative energies in kJ/mol of atoms: version w 0.0; version x 94.3

***

Version w
An optimized crystal structure of CoCuP2S. Source: Alexandria, functional PBE-GGA.

a = 4.3976 Å, b = 4.3976 Å, c = 4.6344 Å
α = 90.00°, β = 90.00°, γ = 90.00°
Last column: nearest neighbours and their distance in Å.
Element x y z (fractional)
1 Co 0.5000 0.5000 0.5000  4 S 3.11, 8 P 3.19
2 P 0.5000 0.0000 0.0000  2 Cu 2.20
3 Cu 0.0000 0.0000 0.0000  4 P 2.20, 2 S 2.32
4 P 0.0000 0.5000 0.0000  2 Cu 2.20
5 S 0.0000 0.0000 0.5000  2 Cu 2.32

Output
Crystal system: tetragonal
Symmetry: P4/mmm

***

Version x
An optimized crystal structure of CoCuP2S. Source: Alexandria, functional PBE-GGA.

a = 4.1528 Å, b = 4.1528 Å, c = 5.0081 Å
α = 90.00°, β = 90.00°, γ = 90.00°
Last column: nearest neighbours and their distance in Å.
Element x y z (fractional)
1 P 0.0000 0.5000 0.0000  2 Co 2.08
2 P 0.5000 0.0000 0.0000  2 Co 2.08
3 Cu 0.5000 0.5000 0.5000  4 S 2.94, 8 P 3.25
4 Co 0.0000 0.0000 0.0000  4 P 2.08
5 S 0.0000 0.0000 0.5000  2 Co 2.50

Output
Crystal system: tetragonal
Symmetry: P4/mmm

***

Relative energies in kJ/mol of atoms: version w 48.7; version x 0.0

***

Version w
An optimized crystal structure of PaCoCu. Source: Alexandria, functional PBE-GGA.

a = 4.7916 Å, b = 5.8745 Å, c = 7.6997 Å
α = 114.27°, β = 90.00°, γ = 90.00°
Last column: nearest neighbours and their distance in Å.
Element x y z (fractional)
1 Co 0.1441 0.3287 0.5229  2 Pa 2.39-2.64, 3 Cu 2.51-2.58, 1 Co 2.58
2 Pa 0.6161 0.3038 0.6137  2 Co 2.39-2.64
3 Pa 0.1161 0.6962 0.8863  2 Co 2.39-2.64
4 Co 0.6441 0.6713 0.9771  2 Pa 2.39-2.64, 3 Cu 2.51-2.58, 1 Co 2.58
5 Co 0.8559 0.6713 0.4771  2 Pa 2.39-2.64, 3 Cu 2.51-2.58, 1 Co 2.58
6 Cu 0.9081 0.9257 0.2843  3 Co 2.51-2.58, 2 Cu 2.68
7 Co 0.3559 0.3287 0.0229  2 Pa 2.39-2.64, 3 Cu 2.51-2.58, 1 Co 2.58
8 Pa 0.3839 0.6962 0.3863  2 Co 2.39-2.64
9 Cu 0.4081 0.0743 0.2157  3 Co 2.51-2.58, 2 Cu 2.68
10 Pa 0.8839 0.3038 0.1137  2 Co 2.39-2.64
11 Cu 0.5919 0.9257 0.7843  3 Co 2.51-2.58, 2 Cu 2.68
12 Cu 0.0919 0.0743 0.7157  3 Co 2.51-2.58, 2 Cu 2.68

Output
Crystal system: monoclinic
Symmetry: P2_1/c

***

Version x
An optimized crystal structure of PaCoCu. Source: Alexandria, functional PBE-GGA.

a = 4.2802 Å, b = 4.2802 Å, c = 7.3102 Å
α = 72.98°, β = 72.98°, γ = 60.00°
Last column: nearest neighbours and their distance in Å.
Element x y z (fractional)
1 Pa 0.5789 0.5789 0.2632  1 Co 2.30
2 Co 0.6905 0.6905 0.9285  1 Pa 2.30
3 Cu 0.8274 0.8274 0.5178  3 Cu 2.48
4 Co 0.3095 0.3095 0.0715  1 Pa 2.30
5 Pa 0.4211 0.4211 0.7368  1 Co 2.30
6 Cu 0.1726 0.1726 0.4822  3 Cu 2.48

Output
Crystal system: trigonal
Symmetry: R-3m

***

Relative energies in kJ/mol of atoms: version w 0.0; version x 25.3

***

Version w
An optimized crystal structure of PaCoCu. Source: Alexandria, functional PBE-GGA.

a = 3.1960 Å, b = 4.2533 Å, c = 4.2533 Å
α = 120.00°, β = 90.00°, γ = 90.00°
Last column: nearest neighbours and their distance in Å.
Element x y z (fractional)
1 Cu 0.1674 0.0000 0.0000  3 Co 2.46
2 Pa 0.6665 0.3333 0.6667  6 Cu 2.93, 6 Co 2.93, 2 Pa 3.20
3 Co 0.1662 0.6667 0.3333  3 Cu 2.46

Output
Crystal system: hexagonal
Symmetry: P-6m2

***

Version x
An optimized crystal structure of PaCoCu. Source: Alexandria, functional PBE-GGA.

a = 3.1447 Å, b = 3.1447 Å, c = 6.7627 Å
α = 103.44°, β = 103.44°, γ = 90.00°
Last column: nearest neighbours and their distance in Å.
Element x y z (fractional)
1 Pa 0.1545 0.1545 0.3090  4 Co 2.57, 1 Cu 2.74
2 Co 0.7552 0.7552 0.5104  1 Cu 2.36, 4 Pa 2.57
3 Cu 0.9403 0.9403 0.8806  1 Co 2.36

Output
Crystal system: tetragonal
Symmetry: I4mm

***

Version y
An optimized crystal structure of PaCoCu. Source: Alexandria, functional PBE-GGA.

a = 3.2911 Å, b = 3.9721 Å, c = 7.8588 Å
α = 90.00°, β = 90.00°, γ = 90.00°
Last column: nearest neighbours and their distance in Å.
Element x y z (fractional)
1 Cu 0.8116 0.7163 0.4801  2 Cu 2.38, 1 Co 2.42
2 Pa 0.3116 0.2162 0.6892  6 Co 2.69-2.97
3 Pa 0.3116 0.7162 0.1038  6 Co 2.69-2.97
4 Cu 0.8116 0.2162 0.3127  2 Cu 2.38, 1 Co 2.42
5 Co 0.8116 0.2162 0.0045  1 Cu 2.42, 2 Co 2.61, 4 Pa 2.69
6 Co 0.8116 0.7162 0.7884  1 Cu 2.42, 2 Co 2.61, 4 Pa 2.69

Output
Crystal system: orthorhombic
Symmetry: Pmma

***

Relative energies in kJ/mol of atoms: version w 11.1; version x 79.7; version y 0.0

***

Version w
An optimized crystal structure of Pa2CoCu. Source: Alexandria, functional PBE-GGA.

a = 3.4005 Å, b = 3.4005 Å, c = 6.5929 Å
α = 90.00°, β = 90.00°, γ = 90.00°
Last column: nearest neighbours and their distance in Å.
Element x y z (fractional)
1 Co 0.5000 0.5000 0.0000  8 Pa 2.81
2 Cu 0.5000 0.5000 0.5000  8 Pa 3.03, 2 Co 3.30
3 Pa 0.0000 0.0000 0.2199  4 Co 2.81, 1 Pa 2.90, 4 Cu 3.03
4 Pa 0.0000 0.0000 0.7801  4 Co 2.81, 1 Pa 2.90, 4 Cu 3.03

Output
Crystal system: tetragonal
Symmetry: P4/mmm

***

Version x
An optimized crystal structure of Pa2CoCu. Source: Alexandria, functional PBE-GGA.

a = 3.2756 Å, b = 3.2756 Å, c = 9.4598 Å
α = 80.03°, β = 80.03°, γ = 60.00°
Last column: nearest neighbours and their distance in Å.
Element x y z (fractional)
1 Co 0.5000 0.5000 0.5000  6 Pa 2.62
2 Cu 0.0000 0.0000 0.0000  2 Pa 2.81
3 Pa 0.8988 0.8988 0.3037  3 Co 2.62, 1 Cu 2.81
4 Pa 0.1012 0.1012 0.6963  3 Co 2.62, 1 Cu 2.81

Output
Crystal system: trigonal
Symmetry: R-3m

***

Relative energies in kJ/mol of atoms: version w 0.0; version x 44.5

***

Version w
An optimized crystal structure of PaCo2Cu. Source: Alexandria, functional PBE-GGA.

a = 4.2777 Å, b = 4.2777 Å, c = 4.6752 Å
α = 62.77°, β = 62.77°, γ = 60.00°
Last column: nearest neighbours and their distance in Å.
Element x y z (fractional)
1 Co 0.3054 0.3054 0.0837  1 Pa 2.32, 3 Cu 2.49, 3 Co 2.56
2 Co 0.6946 0.6946 0.9163  1 Pa 2.32, 3 Cu 2.49, 3 Co 2.56
3 Pa 0.5000 0.5000 0.5000  2 Co 2.32
4 Cu 0.0000 0.0000 0.0000  6 Co 2.49

Output
Crystal system: trigonal
Symmetry: R-3m

***

Version x
An optimized crystal structure of PaCo2Cu. Source: Alexandria, functional PBE-GGA.

a = 3.5611 Å, b = 4.0205 Å, c = 4.0205 Å
α = 90.00°, β = 90.00°, γ = 90.00°
Last column: nearest neighbours and their distance in Å.
Element x y z (fractional)
1 Cu 0.5000 0.5000 0.5000  8 Co 2.69, 4 Pa 2.84
2 Co 0.0000 0.0000 0.5000  4 Cu 2.69, 4 Pa 2.69, 4 Co 2.84
3 Co 0.0000 0.5000 0.0000  4 Pa 2.69, 4 Cu 2.69, 4 Co 2.84
4 Pa 0.5000 0.0000 0.0000  8 Co 2.69, 4 Cu 2.84

Output
Crystal system: tetragonal
Symmetry: P4/mmm

***

Relative energies in kJ/mol of atoms: version w 3.2; version x 0.0